(1)
The following is a DFT calculation (PBE) of a geometry-optimized Zr4PbW structure.

```
Zr4PbW
1.0
0.0000 4.0332 4.0332
4.0332 0.0000 4.0332
4.0332 4.0332 0.0000
Zr Pb W
4 1 1
direct
0.3774 0.3774 0.3774 Zr
0.3774 0.3774 0.8679 Zr
0.3774 0.8679 0.3774 Zr
0.8679 0.3774 0.3774 Zr
0.0000 0.0000 0.0000 Pb
0.7500 0.7500 0.7500 W
```

Properties
SG: F-43m (216)

(2)
The following is a DFT calculation (PBE) of a geometry-optimized Y3Pb structure.

```
Y3Pb
1.0
4.3652 -5.5426 0.0000
4.3652 5.5426 0.0000
0.0000 0.0000 5.0577
Y Pb
6 2
direct
0.1112 0.8888 0.7500 Y
0.1731 0.3986 0.7500 Y
0.3986 0.1731 0.2500 Y
0.6014 0.8269 0.7500 Y
0.8269 0.6014 0.2500 Y
0.8888 0.1112 0.2500 Y
0.3249 0.6751 0.2500 Pb
0.6751 0.3249 0.7500 Pb
```

Properties
SG: Cmcm (63)

(3)
The following is a DFT calculation (PBE) of a geometry-optimized Y2Pb structure.

```
Y2Pb
1.0
0.0000 4.5227 4.5227
4.5227 0.0000 4.5227
4.5227 4.5227 0.0000
Y Pb
4 2
direct
0.0000 0.0000 0.0000 Y
0.0000 0.0000 0.5000 Y
0.0000 0.5000 0.0000 Y
0.5000 0.0000 0.0000 Y
0.3750 0.3750 0.3750 Pb
0.6250 0.6250 0.6250 Pb
```

Properties
SG: Fd-3m (227)

(4)
The following is a DFT calculation (PBE) of a geometry-optimized Y5Pb4 structure.

```
Y5Pb4
1.0
8.2169 0.0000 0.0000
0.0000 15.6675 0.0000
0.0000 0.0000 8.2923
Y Pb
20 16
direct
0.0360 0.0995 0.1757 Y
0.0360 0.4005 0.1757 Y
0.1243 0.6209 0.3433 Y
0.1243 0.8791 0.3433 Y
0.2092 0.2500 0.5037 Y
0.2908 0.7500 0.0037 Y
0.3757 0.1209 0.8433 Y
0.3757 0.3791 0.8433 Y
0.4640 0.5995 0.6757 Y
0.4640 0.9005 0.6757 Y
0.5360 0.0995 0.3243 Y
0.5360 0.4005 0.3243 Y
0.6243 0.6209 0.1567 Y
0.6243 0.8791 0.1567 Y
0.7092 0.2500 0.9963 Y
0.7908 0.7500 0.4963 Y
0.8757 0.1209 0.6567 Y
0.8757 0.3791 0.6567 Y
0.9640 0.5995 0.8243 Y
0.9640 0.9005 0.8243 Y
0.0709 0.2500 0.8757 Pb
0.1522 0.7500 0.6527 Pb
0.2182 0.0431 0.5340 Pb
0.2182 0.4569 0.5340 Pb
0.2818 0.5431 0.0340 Pb
0.2818 0.9569 0.0340 Pb
0.3478 0.2500 0.1527 Pb
0.4291 0.7500 0.3757 Pb
0.5709 0.2500 0.6243 Pb
0.6522 0.7500 0.8473 Pb
0.7182 0.0431 0.9660 Pb
0.7182 0.4569 0.9660 Pb
0.7818 0.5431 0.4660 Pb
0.7818 0.9569 0.4660 Pb
0.8478 0.2500 0.3473 Pb
0.9291 0.7500 0.1243 Pb
```

Properties
Energy relative to the lowest polymorph listed for this composition (eV per formula unit): 0.00
SG: Pnma (62)

The calculation returns the following spin magnetization values, one per record and in order: 0.0 0.0 0.0 0.0 Bohr magnetons per cell.
The calculation returns the following N(E_F) values, one per record and in order: 6.74 13.25 5.65 19.98 states/eV/cell.
The calculation returns the following formation energy values, one per record and in order: 0.55 -0.28 0.09 -0.58 eV per atom.